TlRe2Os | the Alexandria database | GGA-PBEsol | optimized geometry; D(E_F) = 0.916 states/eV/atom; crystal system = orthorhombic; energy of formation from the pure elements = 1.019 eV per atom; total moment = 0.00 μB per cell; E above lowest polymorph = 1.88 eV/f.u.; DFT total energy = -9.358 eV/atom
1.0
-0.218 2.604 1.622
-0.227 -2.331 3.713
4.713 0.155 0.385
Re Os Tl
2 1 1
Direct
0.000 0.000 0.000 Re
0.500 0.500 0.000 Re
0.000 0.500 0.500 Os
0.500 0.000 0.500 Tl